Entry from Alexandria: crystalline CaSb2Pt at its relaxed geometry (PBE-GGA).

Its density of states at the Fermi level is 4.6 states/eV/cell. The energy is -36.2 eV per cell. As for the formation energy (no corrections): -10.6 kcal/mol of atoms.

The structure belongs to space group Cmmm (No. 65); the cell edges are 6.518, 6.569 and 4.263 Å and the angles 90.00°, 90.00° and 90.00°. Symmetry generates all atoms from Ca at (0.000, 0.000, 0.000), Sb at (0.250, 0.250, 0.500) and Pt at (0.000, 0.500, 0.000).